4
Lattice="0.000 3.055 3.055 3.055 0.000 3.055 3.055 3.055 0.000" Properties=species:S:1:pos:R:3 comment="IrRh2Cl | Alexandria via LeMat-Bulk | PBEsol | optimized geometry" relative_energy_mev_per_atom=589 e_form_raw_ev_per_fu=3.4 spacegroup=F-43m pbc="T T T"
Ir 0.000 0.000 0.000
Rh 3.055 3.055 3.055
Rh 4.583 4.583 4.583
Cl 1.528 1.528 1.528